The following is a DFT calculation (PBE-GGA) of a relaxed structure of CsLa2Os2.

Computed properties:
Size of the total moment ... 0.000 Bohr magnetons per cell
Distance to the lowest polymorph of the same formula ... 0.000 eV per atom
ΔE_f ... 48.0 kJ/mol of atoms

Cell lengths 5.0887, 5.0887, 10.9834 Å; angles 90.00, 90.00, 90.00 degrees
Space group I4/mmm (No. 139)
Asymmetric unit:
Cs 0.0000 0.0000 0.0000 (multiplicity 2)
La 0.0000 0.5000 0.2500 (multiplicity 4)
Os 0.0000 0.0000 0.3869 (multiplicity 4)